# 1
Here is crystalline RbRuAu2 at its relaxed geometry from Alexandria. Energies are from PBE.

- DOS at the Fermi energy (states/eV/f.u.) = 8.62
- E above lowest polymorph (meV/atom) = 331

abc: 7.1183 7.1183 7.1183
angles: 90.00 90.00 90.00
Last column: nearest neighbours and their distance in Å.
Space group Fm-3m (No. 225)
Inequivalent atoms, fractional coordinates:
Rb: 0.0000 0.0000 0.0000 (multiplicity 4)  8 Au 3.08
Ru: 0.0000 0.0000 0.5000 (multiplicity 4)  8 Au 3.08
Au: 0.2500 0.2500 0.2500 (multiplicity 8)  4 Rb 3.08, 4 Ru 3.08

# 2
Here is crystalline RbRu3Au at its relaxed geometry from Alexandria. Energies are from PBE.

- DOS at the Fermi energy (states/eV/f.u.) = 4.34
- E above lowest polymorph (meV/atom) = 1008

abc: 4.7398 4.7398 4.7398
angles: 90.00 90.00 90.00
Last column: nearest neighbours and their distance in Å.
Space group Pm-3m (No. 221)
Inequivalent atoms, fractional coordinates:
Rb: 0.0000 0.0000 0.0000 (multiplicity 1)  6 Ru 2.37
Ru: 0.0000 0.0000 0.5000 (multiplicity 3)  2 Rb 2.37
Au: 0.5000 0.5000 0.5000 (multiplicity 1)  12 Ru 3.35

# 3
Here is crystalline Rb2ScRuAu at its relaxed geometry from Alexandria. Energies are from PBE.

- DOS at the Fermi energy (states/eV/f.u.) = 0.46
- total energy (eV/atom) = -3.550

abc: 6.5073 6.5073 4.6139
angles: 90.00 90.00 90.00
Last column: nearest neighbours and their distance in Å.
Space group P4/mmm (No. 123)
Inequivalent atoms, fractional coordinates:
Rb: 0.0000 0.5000 0.0000 (multiplicity 2)  2 Ru 3.25
Sc: 0.0000 0.0000 0.5000 (multiplicity 1)  2 Ru 2.31
Ru: 0.0000 0.0000 0.0000 (multiplicity 1)  2 Sc 2.31
Au: 0.5000 0.5000 0.5000 (multiplicity 1)  8 Rb 3.99

Q: Look up the DOS at the Fermi energy of the first one.
A: 8.62 states/eV/f.u.